A plane-wave DFT calculation with PBE-GGA was carried out for a geometry-optimized Li3Fe4S6 structure.

Computed properties:
- E: -0.411 Ry/atom
- E_form (uncorrected): -0.636 eV per atom

```
data_Li3Fe4S6
_chemical_formula_sum 'Li6 Fe8 S12'
_cell_length_a 6.369
_cell_length_b 10.792
_cell_length_c 6.011
_cell_angle_alpha 90.00
_cell_angle_beta 90.72
_cell_angle_gamma 90.00
_symmetry_space_group_name_H-M 'C 1 2/m 1'
_symmetry_Int_Tables_number 12
_symmetry_space_group_name_Hall '-C 2y'
loop_
_atom_site_label
_atom_site_type_symbol
_atom_site_fract_x
_atom_site_fract_y
_atom_site_fract_z
Li1 Li 0.000 0.000 0.000
Li2 Li 0.000 0.349 0.000
Fe1 Fe 0.167 0.168 0.628
S1 S 0.156 0.173 0.268
S2 S 0.192 0.500 0.257
```